1.
## LiTaRe2P (GGA-PBE)

Data for a geometry-optimized LiTaRe2P structure.

Values from the calculation:
Energy of formation in eV/atom: 0.994
DFT total energy in eV/atom: -7.8205

Cell: 4.4006 4.4006 3.6677 Å, 90.00 90.00 90.00°
Space group P4/mmm (No. 123)
Asymmetric unit:
1 Li 0.0000 0.0000 0.0000 [1 per cell]
2 Ta 0.5000 0.5000 0.5000 [1 per cell]
3 Re 0.0000 0.5000 0.0000 [2 per cell]
4 P 0.0000 0.0000 0.5000 [1 per cell]


2.
## LiYRe2P (GGA-PBE)

Data for a geometry-optimized LiYRe2P structure.

Values from the calculation:
Energy of formation in eV/atom: 0.879
DFT total energy in eV/atom: -6.8581

Cell: 4.3656 4.3656 4.1866 Å, 90.00 90.00 90.00°
Space group P4/mmm (No. 123)
Asymmetric unit:
1 Li 0.0000 0.0000 0.0000 [1 per cell]
2 Y 0.5000 0.5000 0.5000 [1 per cell]
3 Re 0.0000 0.5000 0.0000 [2 per cell]
4 P 0.0000 0.0000 0.5000 [1 per cell]


3.
## LiPRh4 (GGA-PBE)

Data for a geometry-optimized LiPRh4 structure.

Values from the calculation:
Energy of formation in eV/atom: 0.323
DFT total energy in eV/atom: -5.7988

Cell: 7.2205 7.2205 7.2205 Å, 90.00 90.00 90.00°
Space group F-43m (No. 216)
Asymmetric unit:
1 Li 0.0000 0.0000 0.0000 [4 per cell]
2 P 0.2500 0.2500 0.2500 [4 per cell]
3 Rh 0.1247 0.1247 0.6247 [16 per cell]


4.
## LiPRh2 (GGA-PBE)

Data for a geometry-optimized LiPRh2 structure.

Values from the calculation:
Energy of formation in eV/atom: -0.479
DFT total energy in eV/atom: -5.9852

Cell: 8.6817 2.8625 4.1870 Å, 90.00 104.77 90.00°
Space group Cm (No. 8)
Asymmetric unit:
1 Li 0.0000 0.0000 0.0000 [2 per cell]
2 P 0.2431 0.0000 0.6313 [2 per cell]
3 Rh 0.0143 0.5000 0.5218 [2 per cell]
4 Rh 0.2484 0.5000 0.1291 [2 per cell]